The following is a DFT calculation (PBE with a Hubbard U) of a relaxed structure of Li2VP3O10.

Calculated values
DOS at the Fermi energy in states/eV per atom: 0.0000
Total energy in eV per atom: -7.033

a b c (Å): 14.6617 7.1347 9.7430
angles (deg): 90.00 127.83 90.00
Closest atoms and distances in Å follow each position.
Space group C2/c (No. 15)
Symmetry-distinct sites (fractional):
Li 0.2315 0.0005 0.0471 x8  4 O 1.88-2.08
V 0.0000 0.1613 0.2500 x4  6 O 1.97-2.19
P 0.0000 0.4531 0.7500 x4  4 O 1.53-1.59
P 0.1183 0.1839 0.6864 x8  3 O 1.49-1.56
O 0.0043 0.3159 0.6250 x8  2 P 1.59-1.68
O 0.0909 0.1236 0.5147 x8  1 P 1.52
O 0.1050 0.4172 0.3471 x8  1 P 1.53
O 0.1166 0.0142 0.7861 x8  1 P 1.56
O 0.2266 0.2941 0.8049 x8  1 P 1.49